{
  "formula": "BaSr2IrO6",
  "functional": "PBE",
  "state": "optimized geometry",
  "e_form_raw_kcal_per_mol_atoms": -45.750,
  "total_magnetization_mub_per_atom": 0.30,
  "cell": [[5.8978, 0.0000, 0.0000], [0.0000, 6.3865, 0.0000], [-5.7945, 0.0000, 8.6245]],
  "species": ["Ba", "Ba", "Sr", "Sr", "Sr", "Sr", "Ir", "Ir", "O", "O", "O", "O", "O", "O", "O", "O", "O", "O", "O", "O"],
  "fractional_positions": [[0.0000, 0.0000, 0.0000], [0.0000, 0.5000, 0.5000], [0.2196, 0.0438, 0.7310], [0.2196, 0.4562, 0.2310], [0.7804, 0.5438, 0.7690], [0.7804, 0.9562, 0.2690], [0.5000, 0.0000, 0.5000], [0.5000, 0.5000, 0.0000], [0.1898, 0.1588, 0.4688], [0.1898, 0.3412, 0.9688], [0.2586, 0.7482, 0.9088], [0.2586, 0.7518, 0.4088], [0.4069, 0.0863, 0.2936], [0.4069, 0.4137, 0.7936], [0.5931, 0.5863, 0.2064], [0.5931, 0.9137, 0.7064], [0.7414, 0.2482, 0.5912], [0.7414, 0.2518, 0.0912], [0.8102, 0.6588, 0.0312], [0.8102, 0.8412, 0.5312]]
}